# 1
VASP calculation (PBE) on a relaxed Zn3IrSe crystal.

Structure (POSCAR):
```
Zn3IrSe
1.0
4.7982 0.0000 0.0000
0.0000 4.7982 0.0000
0.0000 0.0000 4.7982
Zn Ir Se
3 1 1
Cartesian
0.0000 0.0000 2.3991
0.0000 2.3991 0.0000
2.3991 0.0000 0.0000
0.0000 0.0000 0.0000
2.3991 2.3991 2.3991
```

Summary:
Calculated density (g cm⁻³): 7.0
Raw formation energy (eV/atom): 0.38
Calculated total energy (eV/cell): -14.26
Crystal system: cubic
Space group: Pm-3m

---

# 2
VASP calculation (PBE) on a relaxed ZnIr4Se crystal.

Structure (POSCAR):
```
ZnIr4Se
1.0
0.0000 3.6929 3.6929
3.6929 0.0000 3.6929
3.6929 3.6929 0.0000
Zn Ir Se
1 4 1
Cartesian
0.0000 0.0000 0.0000
2.7690 2.7690 2.7690
4.6167 4.6167 2.7690
4.6167 2.7690 4.6167
2.7690 4.6167 4.6167
5.5393 5.5393 5.5393
```

Summary:
Calculated density (g cm⁻³): 15.1
Raw formation energy (eV/atom): 0.67
Calculated total energy (eV/cell): -36.17
Crystal system: cubic
Space group: F-43m

---

Which value of calculated density does entry 2 give? 15.1 g cm⁻³

---

Which of these has the lowest raw formation energy? Zn3IrSe

---

The highest calculated total energy belongs to which entry? Zn3IrSe

---

Copy entry 1 word for word.
VASP calculation (PBE) on a relaxed Zn3IrSe crystal.

Structure (POSCAR):
```
Zn3IrSe
1.0
4.7982 0.0000 0.0000
0.0000 4.7982 0.0000
0.0000 0.0000 4.7982
Zn Ir Se
3 1 1
Cartesian
0.0000 0.0000 2.3991
0.0000 2.3991 0.0000
2.3991 0.0000 0.0000
0.0000 0.0000 0.0000
2.3991 2.3991 2.3991
```

Summary:
Calculated density (g cm⁻³): 7.0
Raw formation energy (eV/atom): 0.38
Calculated total energy (eV/cell): -14.26
Crystal system: cubic
Space group: Pm-3m